# GGA-PBE Dy7Sc2Tl2, relaxed
data_Dy7Sc2Tl2
_symmetry_space_group_name_H-M 'P 1'
_symmetry_Int_Tables_number 1
_cell_length_a 3.561
_cell_length_b 11.040
_cell_length_c 11.040
_cell_angle_alpha 51.13
_cell_angle_beta 80.72
_cell_angle_gamma 80.72
loop_
_symmetry_equiv_pos_as_xyz
'x,y,z'
loop_
_atom_site_label
_atom_site_type_symbol
_atom_site_fract_x
_atom_site_fract_y
_atom_site_fract_z
Dy1 Dy 0.500 0.042 0.958
Dy2 Dy 0.130 0.135 0.604
Dy3 Dy 0.843 0.048 0.266
Dy4 Dy 0.870 0.396 0.865
Dy5 Dy 0.157 0.734 0.952
Dy6 Dy 0.374 0.712 0.539
Dy7 Dy 0.626 0.461 0.288
Sc1 Sc 0.000 0.719 0.281
Sc2 Sc 0.500 0.397 0.603
Tl1 Tl 0.745 0.860 0.650
Tl2 Tl 0.255 0.350 0.140
# Calculated density (Mg/m³): 8.172
# E_tot (eV/atom): -4.53
# D(E_F) (states/eV/f.u.): 16.04